[1]
## Ac3ZnPd6Au2 (GGA-PBE)

Data for a relaxed structure of Ac3ZnPd6Au2.

- Total magnetization: 0.00 μB/atom
- Electronic total energy: -4.992 eV per atom
- ΔE_f: -69.1 kJ/mol of atoms

Lattice parameters (Å, degrees): 5.8589 5.8589 8.9726 90.00 90.00 120.00
Atoms (fractional coordinates):
Ac: 0.3333 0.6667 0.6331
Ac: 0.6667 0.3333 0.3669
Ac: 0.0000 0.0000 0.0000
Zn: 0.0000 0.0000 0.5000
Pd: 0.6543 0.8272 0.2876
Pd: 0.1728 0.3457 0.2876
Pd: 0.1728 0.8272 0.2876
Pd: 0.8272 0.6543 0.7124
Pd: 0.3457 0.1728 0.7124
Pd: 0.8272 0.1728 0.7124
Au: 0.6667 0.3333 0.9779
Au: 0.3333 0.6667 0.0221

=====

[2]
## AcZn2PdAu (GGA-PBE)

Data for a relaxed structure of AcZn2PdAu.

- Total magnetization: 0.00 μB/atom
- Electronic total energy: -3.576 eV per atom
- ΔE_f: -53.2 kJ/mol of atoms

Lattice parameters (Å, degrees): 4.4087 4.3726 6.3873 110.02 110.19 90.00
Atoms (fractional coordinates):
Ac: 0.4355 0.4355 0.8711
Zn: 0.6949 0.1949 0.3898
Zn: 0.0613 0.0613 0.1227
Pd: 0.8362 0.8362 0.6724
Au: 0.1842 0.6842 0.3684

=====

[3]
## Ac3ZnPd2Au6 (GGA-PBE)

Data for a relaxed structure of Ac3ZnPd2Au6.

- Total magnetization: 0.00 μB/atom
- Electronic total energy: -4.167 eV per atom
- ΔE_f: -51.1 kJ/mol of atoms

Lattice parameters (Å, degrees): 6.4897 6.4897 8.1277 90.00 90.00 120.00
Atoms (fractional coordinates):
Ac: 0.3333 0.6667 0.6632
Ac: 0.6667 0.3333 0.3368
Ac: 0.0000 0.0000 0.0000
Zn: 0.0000 0.0000 0.5000
Pd: 0.6667 0.3333 0.9839
Pd: 0.3333 0.6667 0.0161
Au: 0.6311 0.8156 0.2957
Au: 0.1844 0.3689 0.2957
Au: 0.1844 0.8156 0.2957
Au: 0.8156 0.6311 0.7043
Au: 0.3689 0.1844 0.7043
Au: 0.8156 0.1844 0.7043

=====

[4]
## Ac2ZnPdAu6 (GGA-PBE)

Data for a relaxed structure of Ac2ZnPdAu6.

- Total magnetization: 0.00 μB/atom
- Electronic total energy: -3.972 eV per atom
- ΔE_f: -51.8 kJ/mol of atoms

Lattice parameters (Å, degrees): 7.3820 6.9102 6.9119 46.78 79.63 96.64
Atoms (fractional coordinates):
Ac: 0.1936 0.7286 0.5309
Ac: 0.8064 0.2714 0.4691
Zn: 0.5000 0.5000 0.0000
Pd: 0.0000 0.0000 0.0000
Au: 0.2451 0.7337 0.9876
Au: 0.5943 0.7508 0.1599
Au: 0.2459 0.2330 0.4890
Au: 0.7549 0.2663 0.0124
Au: 0.4057 0.2492 0.8401
Au: 0.7541 0.7670 0.5110

=====

[5]
## Ac2Zn3Pd4Au (GGA-PBE)

Data for a relaxed structure of Ac2Zn3Pd4Au.

- Total magnetization: 0.00 μB/atom
- Electronic total energy: -4.244 eV per atom
- ΔE_f: -61.3 kJ/mol of atoms

Lattice parameters (Å, degrees): 4.3681 4.3681 11.0009 90.00 90.00 90.00
Atoms (fractional coordinates):
Ac: 0.5000 0.0000 0.2493
Ac: 0.0000 0.5000 0.7507
Zn: 0.0000 0.0000 0.5000
Zn: 0.5000 0.0000 0.8795
Zn: 0.0000 0.5000 0.1205
Pd: 0.5000 0.5000 0.0000
Pd: 0.0000 0.0000 0.0000
Pd: 0.5000 0.0000 0.6506
Pd: 0.0000 0.5000 0.3494
Au: 0.5000 0.5000 0.5000

=====

[6]
## Ac2Zn2Pd5Au (GGA-PBE)

Data for a relaxed structure of Ac2Zn2Pd5Au.

- Total magnetization: 0.00 μB/atom
- Electronic total energy: -4.592 eV per atom
- ΔE_f: -57.1 kJ/mol of atoms

Lattice parameters (Å, degrees): 3.9350 10.0200 10.0200 90.00 90.00 90.00
Atoms (fractional coordinates):
Ac: 0.0000 0.6847 0.1847
Ac: 0.0000 0.3153 0.8153
Ac: 0.0000 0.1847 0.3153
Ac: 0.0000 0.8153 0.6847
Zn: 0.0000 0.1121 0.6121
Zn: 0.0000 0.8879 0.3879
Zn: 0.0000 0.6121 0.8879
Zn: 0.0000 0.3879 0.1121
Pd: 0.5000 0.2096 0.0609
Pd: 0.5000 0.7904 0.9391
Pd: 0.5000 0.0609 0.7904
Pd: 0.5000 0.7096 0.4391
Pd: 0.5000 0.9391 0.2096
Pd: 0.5000 0.2904 0.5609
Pd: 0.5000 0.5609 0.7096
Pd: 0.5000 0.4391 0.2904
Pd: 0.5000 0.5000 0.0000
Pd: 0.5000 0.0000 0.5000
Au: 0.0000 0.0000 0.0000
Au: 0.0000 0.5000 0.5000